Computed, not measured: crystalline Na12ZnCd7 at its relaxed geometry at the PBE level of DFT.

It has space group R-3 (No. 148, hexagonal axes), with a = 14.2911 Å, b = 14.2911 Å, c = 9.5283 Å, α = 90.00°, β = 90.00° and γ = 120.00°. The inequivalent atoms are Na at (0.0415, 0.7925, 0.4266), Na at (0.0627, 0.2582, 0.9530), Zn at (0.0000, 0.0000, 0.5000), Cd at (0.0000, 0.0000, 0.0000) and Cd at (0.0067, 0.8728, 0.7391).

The value obtained for the energy is -73.50 eV for the cell shown. The theoretical density is 3335 kg/m3. The formation energy is -0.050 eV/atom. The value obtained for the distance to the lowest polymorph of the same formula is 0 meV per atom. The value obtained for the volume is 28.09 Å³ per atom.